(1)
The following is a DFT calculation (PBE) of a relaxed structure of Li2LaTlO.

Summary:
- DOS(E_F) (states/eV/f.u.) = 4.122
- formation energy (no corrections) (eV per atom) = -1.114

Cell and atoms, written as CIF:
```
data_Li2LaTlO
_cell_length_a 4.8349
_cell_length_b 4.8349
_cell_length_c 4.5748
_cell_angle_alpha 90.00
_cell_angle_beta 90.00
_cell_angle_gamma 90.00
_space_group_name_H-M_alt 'P 4/m m m'
_space_group_IT_number 123
_space_group_name_Hall '-P 4 2'
loop_
_atom_site_label
_atom_site_fract_x
_atom_site_fract_y
_atom_site_fract_z
Li1 0.0000 0.5000 0.0000
La1 0.0000 0.0000 0.5000
Tl1 0.5000 0.5000 0.5000
O1 0.0000 0.0000 0.0000
```

---

(2)
The following is a DFT calculation (PBE) of a relaxed structure of Nb3GaPt.

Summary:
- DOS(E_F) (states/eV/f.u.) = 6.081
- offset from the most stable computed form (eV per formula unit) = 0.00
- calculated formation energy (meV per atom) = 975.4

Cell and atoms, written as CIF:
```
data_Nb3GaPt
_cell_length_a 4.6750
_cell_length_b 4.6750
_cell_length_c 4.6750
_cell_angle_alpha 90.00
_cell_angle_beta 90.00
_cell_angle_gamma 90.00
_space_group_name_H-M_alt 'P m -3 m'
_space_group_IT_number 221
_space_group_name_Hall '-P 4 2 3'
loop_
_atom_site_label
_atom_site_fract_x
_atom_site_fract_y
_atom_site_fract_z
Nb1 0.0000 0.0000 0.5000
Ga1 0.0000 0.0000 0.0000
Pt1 0.5000 0.5000 0.5000
```

---

(3)
The following is a DFT calculation (PBE) of a relaxed structure of KTl5Se4.

Summary:
- formation energy (no corrections) (eV per atom) = -0.433

Cell and atoms, written as CIF:
```
data_KTl5Se4
_cell_length_a 9.5951
_cell_length_b 10.3601
_cell_length_c 7.7735
_cell_angle_alpha 90.00
_cell_angle_beta 90.00
_cell_angle_gamma 90.00
_space_group_name_H-M_alt 'P m m n'
_space_group_IT_number 59
loop_
_space_group_symop_operation_xyz
'x,y,z'
'-x,-y,-z'
'-x+1/2,-y+1/2,z'
'x+1/2,y+1/2,-z'
'x+1/2,-y,-z'
'-x+1/2,y,z'
'-x,y+1/2,-z'
'x,-y+1/2,z'
loop_
_atom_site_label
_atom_site_fract_x
_atom_site_fract_y
_atom_site_fract_z
K1 0.2500 0.2500 0.1220
Tl1 0.0117 0.0481 0.7372
Tl2 0.2500 0.7500 0.8150
Se1 0.0163 0.7500 0.6278
Se2 0.2500 0.5391 0.0245
```

---

(4)
The following is a DFT calculation (PBE) of a relaxed structure of Li2TiPtO.

Summary:
- DOS(E_F) (states/eV/f.u.) = 2.232
- formation energy (no corrections) (eV per atom) = -1.332

Cell and atoms, written as CIF:
```
data_Li2TiPtO
_cell_length_a 3.8810
_cell_length_b 3.8810
_cell_length_c 4.0468
_cell_angle_alpha 90.00
_cell_angle_beta 90.00
_cell_angle_gamma 90.00
_space_group_name_H-M_alt 'P 4/m m m'
_space_group_IT_number 123
_space_group_name_Hall '-P 4 2'
loop_
_atom_site_label
_atom_site_fract_x
_atom_site_fract_y
_atom_site_fract_z
Li1 0.0000 0.5000 0.0000
Ti1 0.0000 0.0000 0.5000
Pt1 0.5000 0.5000 0.5000
O1 0.0000 0.0000 0.0000
```

---

- What is the formula in the third record?
  KTl5Se4